# Ac3TbNi2O9

Ac3TbNi2O9 after structural relaxation (PBE with a Hubbard U, Alexandria via LeMat-Bulk).

The density comes out at 9.0 Mg/m³. The uncorrected energy is -6.92 eV/atom.

Cell lengths 5.7015, 5.7015, 7.2182 Å; angles 90.00, 90.00, 120.00 degrees
Space group P-3m1 (No. 164)
Unique sites:
Ac1 0.0000 0.0000 0.0000 x1
Ac2 0.3333 0.6667 0.7072 x2
Tb1 0.0000 0.0000 0.5000 x1
Ni1 0.3333 0.6667 0.1619 x2
O1 0.0000 0.5000 0.0000 x3
O2 0.1719 0.3438 0.3103 x6